Entry 1:
DFT (GGA-PBE) results for V3PdC after structural relaxation.

The structure in CIF format:
```
data_V3PdC
_cell_length_a 4.656
_cell_length_b 4.656
_cell_length_c 4.656
_cell_angle_alpha 90.00
_cell_angle_beta 90.00
_cell_angle_gamma 90.00
_space_group_name_H-M_alt 'P 1'
_space_group_IT_number 1
loop_
_space_group_symop_operation_xyz
'x,y,z'
loop_
_atom_site_label
_atom_site_type_symbol
_atom_site_fract_x
_atom_site_fract_y
_atom_site_fract_z
Pd1 Pd 0.000 0.000 0.000
V1 V 0.000 0.000 0.500
V2 V 0.000 0.500 0.000
V3 V 0.500 0.000 0.000
C1 C 0.500 0.500 0.500
```

Output
Relative energy among the computed polymorphs ... 2.660 eV/atom
Formation energy ... 2.3709 eV/atom
Energy ... -5.9836 eV per atom

***

Entry 2:
DFT (GGA-PBE) results for V3PdC after structural relaxation.

The structure in CIF format:
```
data_V3PdC
_cell_length_a 3.978
_cell_length_b 3.978
_cell_length_c 3.978
_cell_angle_alpha 90.00
_cell_angle_beta 90.00
_cell_angle_gamma 90.00
_space_group_name_H-M_alt 'P 1'
_space_group_IT_number 1
loop_
_space_group_symop_operation_xyz
'x,y,z'
loop_
_atom_site_label
_atom_site_type_symbol
_atom_site_fract_x
_atom_site_fract_y
_atom_site_fract_z
V1 V 0.000 0.500 0.000
V2 V 0.000 0.000 0.500
V3 V 0.500 0.000 0.000
Pd1 Pd 0.500 0.500 0.500
C1 C 0.000 0.000 0.000
```

Output
Relative energy among the computed polymorphs ... 0.013 eV/atom
Formation energy ... -0.2760 eV/atom
Energy ... -8.6305 eV per atom

***

Entry 3:
DFT (GGA-PBE) results for VPdC2 after structural relaxation.

The structure in CIF format:
```
data_VPdC2
_cell_length_a 4.621
_cell_length_b 4.621
_cell_length_c 5.649
_cell_angle_alpha 65.86
_cell_angle_beta 65.86
_cell_angle_gamma 90.00
_space_group_name_H-M_alt 'P 1'
_space_group_IT_number 1
loop_
_space_group_symop_operation_xyz
'x,y,z'
loop_
_atom_site_label
_atom_site_type_symbol
_atom_site_fract_x
_atom_site_fract_y
_atom_site_fract_z
C1 C 0.603 0.125 0.250
C2 C 0.875 0.853 0.750
C3 C 0.147 0.625 0.250
C4 C 0.375 0.397 0.750
Pd1 Pd 0.750 0.250 0.500
Pd2 Pd 0.000 0.000 0.000
V1 V 0.250 0.750 0.500
V2 V 0.500 0.500 0.000
```

Output
Relative energy among the computed polymorphs ... 0.000 eV/atom
Formation energy ... 0.6893 eV/atom
Energy ... -7.5005 eV per atom

***

Entry 4:
DFT (GGA-PBE) results for V7Pd2C2 after structural relaxation.

The structure in CIF format:
```
data_V7Pd2C2
_cell_length_a 5.206
_cell_length_b 5.591
_cell_length_c 5.206
_cell_angle_alpha 85.73
_cell_angle_beta 104.74
_cell_angle_gamma 94.27
_space_group_name_H-M_alt 'P 1'
_space_group_IT_number 1
loop_
_space_group_symop_operation_xyz
'x,y,z'
loop_
_atom_site_label
_atom_site_type_symbol
_atom_site_fract_x
_atom_site_fract_y
_atom_site_fract_z
Pd1 Pd 0.808 0.500 0.808
Pd2 Pd 0.192 0.500 0.192
V1 V 0.511 0.792 0.489
V2 V 0.000 0.000 0.000
V3 V 0.489 0.208 0.511
V4 V 0.993 0.223 0.526
V5 V 0.526 0.777 0.993
V6 V 0.007 0.777 0.474
V7 V 0.474 0.223 0.007
C1 C 0.268 0.986 0.732
C2 C 0.732 0.014 0.268
```

Output
Formation energy ... 0.0058 eV/atom
Energy ... -8.4182 eV per atom

***

Entry 5:
DFT (GGA-PBE) results for VPd2C after structural relaxation.

The structure in CIF format:
```
data_VPd2C
_cell_length_a 7.256
_cell_length_b 7.256
_cell_length_c 5.542
_cell_angle_alpha 49.11
_cell_angle_beta 49.11
_cell_angle_gamma 90.00
_space_group_name_H-M_alt 'P 1'
_space_group_IT_number 1
loop_
_space_group_symop_operation_xyz
'x,y,z'
loop_
_atom_site_label
_atom_site_type_symbol
_atom_site_fract_x
_atom_site_fract_y
_atom_site_fract_z
C1 C 0.500 0.500 0.000
C2 C 0.250 0.750 0.500
Pd1 Pd 0.875 0.753 0.750
Pd2 Pd 0.247 0.625 0.250
Pd3 Pd 0.375 0.497 0.750
Pd4 Pd 0.503 0.125 0.250
V1 V 0.750 0.250 0.500
V2 V 0.000 0.000 0.000
```

Output
Formation energy ... 0.4483 eV/atom
Energy ... -6.7337 eV per atom

***

Entry 6:
DFT (GGA-PBE) results for Y2VPdC after structural relaxation.

The structure in CIF format:
```
data_Y2VPdC
_cell_length_a 4.948
_cell_length_b 4.948
_cell_length_c 3.934
_cell_angle_alpha 90.00
_cell_angle_beta 90.00
_cell_angle_gamma 90.00
_space_group_name_H-M_alt 'P 1'
_space_group_IT_number 1
loop_
_space_group_symop_operation_xyz
'x,y,z'
loop_
_atom_site_label
_atom_site_type_symbol
_atom_site_fract_x
_atom_site_fract_y
_atom_site_fract_z
C1 C 0.000 0.000 0.000
V1 V 0.000 0.000 0.500
Y1 Y 0.000 0.500 0.000
Y2 Y 0.500 0.000 0.000
Pd1 Pd 0.500 0.500 0.500
```

Output
Formation energy ... -0.3765 eV/atom
Energy ... -7.6692 eV per atom

***

Entry 7:
DFT (GGA-PBE) results for PdWC3 after structural relaxation.

The structure in CIF format:
```
data_PdWC3
_cell_length_a 4.090
_cell_length_b 4.090
_cell_length_c 4.090
_cell_angle_alpha 90.00
_cell_angle_beta 90.00
_cell_angle_gamma 90.00
_space_group_name_H-M_alt 'P 1'
_space_group_IT_number 1
loop_
_space_group_symop_operation_xyz
'x,y,z'
loop_
_atom_site_label
_atom_site_type_symbol
_atom_site_fract_x
_atom_site_fract_y
_atom_site_fract_z
C1 C 0.000 0.500 0.000
C2 C 0.000 0.000 0.500
C3 C 0.500 0.000 0.000
Pd1 Pd 0.500 0.500 0.500
W1 W 0.000 0.000 0.000
```

Output
Relative energy among the computed polymorphs ... 0.000 eV/atom
Formation energy ... 1.9298 eV/atom
Energy ... -7.2337 eV per atom

***

Entry 8:
DFT (GGA-PBE) results for Pd2WC2 after structural relaxation.

The structure in CIF format:
```
data_Pd2WC2
_cell_length_a 6.794
_cell_length_b 6.794
_cell_length_c 2.721
_cell_angle_alpha 90.00
_cell_angle_beta 90.00
_cell_angle_gamma 90.00
_space_group_name_H-M_alt 'P 1'
_space_group_IT_number 1
loop_
_space_group_symop_operation_xyz
'x,y,z'
loop_
_atom_site_label
_atom_site_type_symbol
_atom_site_fract_x
_atom_site_fract_y
_atom_site_fract_z
Pd1 Pd 0.136 0.364 0.000
Pd2 Pd 0.364 0.864 0.000
Pd3 Pd 0.864 0.636 0.000
Pd4 Pd 0.636 0.136 0.000
C1 C 0.701 0.799 0.500
C2 C 0.201 0.701 0.500
C3 C 0.299 0.201 0.500
C4 C 0.799 0.299 0.500
W1 W 0.000 0.000 0.000
W2 W 0.500 0.500 0.000
```

Output
Relative energy among the computed polymorphs ... 0.517 eV/atom
Formation energy ... 1.7211 eV/atom
Energy ... -6.6362 eV per atom